*P*
First-principles (PBE-GGA) data for a geometry-optimized Li2CuCl structure, as listed in the Alexandria database.

Results
Its volume is 17.713 Å³/atom. For the calculated density, the calculation gives 2.6 g/cm³.

Unit cell a=6.569 b=6.569 c=6.569 alpha=90.00 beta=90.00 gamma=90.00
Space group F-43m (No. 216)
One atom of each set of equivalent atoms:
Li1 0.000 0.000 0.000 (multiplicity 4)
Li2 0.250 0.250 0.250 (multiplicity 4)
Cu1 0.250 0.250 0.750 (multiplicity 4)
Cl1 0.000 0.000 0.500 (multiplicity 4)


*Q*
First-principles (PBE-GGA) data for a geometry-optimized Li2CuCl structure, as listed in the Alexandria database.

Results
Its volume is 15.403 Å³/atom. For the calculated density, the calculation gives 3.0 g/cm³.

Unit cell a=3.107 b=3.165 c=6.266 alpha=90.00 beta=91.26 gamma=90.00
Space group P2/m (No. 10)
One atom of each set of equivalent atoms:
Li1 0.011 0.000 0.258 (multiplicity 2)
Cu1 0.500 0.500 0.000 (multiplicity 1)
Cl1 0.500 0.500 0.500 (multiplicity 1)


*R*
First-principles (PBE-GGA) data for a geometry-optimized Li2CuCl structure, as listed in the Alexandria database.

Results
Its volume is 18.985 Å³/atom. For the calculated density, the calculation gives 2.5 g/cm³.

Unit cell a=3.382 b=3.382 c=6.640 alpha=90.00 beta=90.00 gamma=90.00
Space group P4mm (No. 99)
One atom of each set of equivalent atoms:
Li1 0.000 0.000 0.000 (multiplicity 1)
Li2 0.500 0.500 0.430 (multiplicity 1)
Cu1 0.500 0.500 0.847 (multiplicity 1)
Cl1 0.000 0.000 0.359 (multiplicity 1)


*S*
First-principles (PBE-GGA) data for a geometry-optimized Li2CuCl structure, as listed in the Alexandria database.

Results
Its volume is 22.877 Å³/atom. For the calculated density, the calculation gives 2.0 g/cm³.

Unit cell a=3.438 b=7.169 c=7.425 alpha=90.00 beta=90.00 gamma=90.00
Space group Immm (No. 71)
One atom of each set of equivalent atoms:
Li1 0.000 0.226 0.000 (multiplicity 4)
Cu1 0.000 0.000 0.500 (multiplicity 2)
Cl1 0.000 0.500 0.500 (multiplicity 2)


Preferred: *Q*; penalty for the next structure: 19 meV per atom.


*P*
First-principles (PBE-GGA) data for a geometry-optimized Li2CuCl structure, as listed in the Alexandria database.

Results
Its volume is 20.534 Å³/atom. For the calculated density, the calculation gives 2.3 g/cm³.

Unit cell a=6.415 b=6.415 c=7.984 alpha=90.00 beta=90.00 gamma=90.00
Space group I-42d (No. 122)
One atom of each set of equivalent atoms:
Li1 0.215 0.250 0.125 (multiplicity 8)
Cu1 0.000 0.000 0.500 (multiplicity 4)
Cl1 0.000 0.000 0.000 (multiplicity 4)


*Q*
First-principles (PBE-GGA) data for a geometry-optimized Li2CuCl structure, as listed in the Alexandria database.

Results
Its volume is 17.629 Å³/atom. For the calculated density, the calculation gives 2.7 g/cm³.

Unit cell a=12.634 b=3.404 c=3.403 alpha=90.00 beta=105.46 gamma=90.00
Space group Cm (No. 8)
One atom of each set of equivalent atoms:
Li1 0.000 0.000 0.000 (multiplicity 2)
Li2 0.152 0.500 0.652 (multiplicity 2)
Cu1 0.233 0.000 0.231 (multiplicity 2)
Cl1 0.455 0.000 0.456 (multiplicity 2)


Preferred: *Q*; penalty for the next structure: 70 meV per atom.


*P*
First-principles (PBE-GGA) data for a geometry-optimized Li3CuCl4 structure, as listed in the Alexandria database.

Results
Its volume is 17.946 Å³/atom. For the calculated density, the calculation gives 2.6 g/cm³.

Unit cell a=7.856 b=9.772 c=3.740 alpha=90.00 beta=90.00 gamma=90.00
Space group Cmmm (No. 65)
One atom of each set of equivalent atoms:
Li1 0.000 0.000 0.000 (multiplicity 2)
Li2 0.250 0.250 0.500 (multiplicity 4)
Cu1 0.000 0.500 0.000 (multiplicity 2)
Cl1 0.000 0.272 0.000 (multiplicity 4)
Cl2 0.216 0.000 0.500 (multiplicity 4)


*Q*
First-principles (PBE-GGA) data for a geometry-optimized Li3CuCl4 structure, as listed in the Alexandria database.

Results
Its volume is 20.678 Å³/atom. For the calculated density, the calculation gives 2.3 g/cm³.

Unit cell a=3.8883 b=3.8883 c=37.9024 alpha=90.00 beta=90.00 gamma=120.00
Space group R3m (No. 160, hexagonal axes)
One atom of each set of equivalent atoms:
Li1 0.0000 0.0000 0.0000 (multiplicity 3)
Li2 0.0000 0.0000 0.2491 (multiplicity 3)
Li3 0.0000 0.0000 0.4982 (multiplicity 3)
Cu1 0.0000 0.0000 0.7492 (multiplicity 3)
Cl1 0.0000 0.0000 0.0633 (multiplicity 3)
Cl2 0.0000 0.0000 0.3123 (multiplicity 3)
Cl3 0.0000 0.0000 0.5614 (multiplicity 3)
Cl4 0.0000 0.0000 0.8112 (multiplicity 3)


Preferred: *Q*; penalty for the next structure: 59 meV per atom.


*P*
First-principles (PBE-GGA) data for a geometry-optimized LiCu3Cl structure, as listed in the Alexandria database.

Results
Its volume is 19.085 Å³/atom. For the calculated density, the calculation gives 4.1 g/cm³.

Unit cell a=4.570 b=4.570 c=4.570 alpha=90.00 beta=90.00 gamma=90.00
Space group Pm-3m (No. 221)
One atom of each set of equivalent atoms:
Li1 0.000 0.000 0.000 (multiplicity 1)
Cu1 0.000 0.500 0.500 (multiplicity 3)
Cl1 0.500 0.500 0.500 (multiplicity 1)


*Q*
First-principles (PBE-GGA) data for a geometry-optimized LiCu3Cl structure, as listed in the Alexandria database.

Results
Its volume is 16.517 Å³/atom. For the calculated density, the calculation gives 4.7 g/cm³.

Unit cell a=4.355 b=4.355 c=4.355 alpha=90.00 beta=90.00 gamma=90.00
Space group Pm-3m (No. 221)
One atom of each set of equivalent atoms:
Li1 0.000 0.000 0.000 (multiplicity 1)
Cu1 0.000 0.000 0.500 (multiplicity 3)
Cl1 0.500 0.500 0.500 (multiplicity 1)


Preferred: *P*; penalty for the next structure: 42 meV per atom.